1.
Rb4PrNd3Te8 (GGA-PBE, optimized geometry); volume = 40.3 Å³/atom; formation energy from raw total energies = -1.409 eV/atom
1.0
4.658 2.690 8.577
-4.658 2.690 8.577
0.000 -5.379 8.577
Rb Pr Nd Te
4 1 3 8
Cartesian
0.000 0.000 0.000 Rb
-2.329 -1.345 8.577 Rb
-2.329 1.345 17.154 Rb
0.000 2.690 8.577 Rb
0.000 0.000 12.866 Pr
-4.658 0.000 12.866 Nd
-2.329 1.345 4.289 Nd
2.329 1.345 4.289 Nd
-2.340 -1.351 14.628 Te
0.000 0.000 6.045 Te
0.000 -2.702 11.103 Te
-2.340 1.351 11.103 Te
2.340 -1.351 14.628 Te
0.000 2.702 14.628 Te
0.000 0.000 19.686 Te
2.340 1.351 11.103 Te

=====

2.
PrNdRe (GGA-PBE, optimized geometry); volume = 26.6 Å³/atom; formation enthalpy at 0 K = 0.19 eV/atom
1.0
3.256 0.000 0.000
0.000 3.256 0.000
0.000 0.000 15.026
Pr Nd Re
2 2 2
Cartesian
0.814 0.814 1.407 Pr
2.442 2.442 13.620 Pr
0.814 0.814 10.362 Nd
2.442 2.442 4.665 Nd
0.814 0.814 6.866 Re
2.442 2.442 8.160 Re

=====

3.
PrNd2Rh2 (GGA-PBE, optimized geometry); volume = 25.3 Å³/atom; formation enthalpy at 0 K = -0.55 eV/atom
1.0
7.863 0.000 0.000
0.000 7.863 0.000
0.000 0.000 4.091
Pr Nd Rh
2 4 4
Cartesian
0.000 0.000 0.000 Pr
3.932 3.932 0.000 Pr
1.262 2.670 2.046 Nd
2.670 6.601 2.046 Nd
5.194 1.262 2.046 Nd
6.601 5.194 2.046 Nd
1.091 5.022 0.000 Rh
2.841 1.091 0.000 Rh
5.022 6.773 0.000 Rh
6.773 2.841 0.000 Rh

=====

4.
Pr2NdRh (GGA-PBE, optimized geometry); volume = 30.2 Å³/atom; formation enthalpy at 0 K = -0.38 eV/atom
1.0
1.964 -6.107 0.000
1.964 6.107 0.000
0.000 0.000 10.074
Pr Nd Rh
4 2 2
Cartesian
1.964 4.404 5.716 Pr
1.964 4.404 9.395 Pr
1.964 -4.404 0.679 Pr
1.964 -4.404 4.358 Pr
1.964 1.033 7.555 Nd
1.964 -1.033 2.518 Nd
1.964 2.863 2.518 Rh
1.964 -2.863 7.555 Rh

=====

5.
Pr5Nd4Rh2 (GGA-PBE, optimized geometry); volume = 32.2 Å³/atom; formation enthalpy at 0 K = -0.19 eV/atom
1.0
9.162 0.000 0.000
0.000 3.732 0.000
-0.587 0.000 10.349
Pr Nd Rh
5 4 2
Cartesian
0.000 0.000 0.000 Pr
0.091 0.000 3.446 Pr
2.624 0.000 8.824 Pr
5.952 0.000 1.525 Pr
8.484 0.000 6.903 Pr
2.514 1.866 5.541 Nd
2.825 1.866 1.804 Nd
5.751 1.866 8.544 Nd
6.062 1.866 4.808 Nd
3.950 0.000 3.678 Rh
4.626 0.000 6.671 Rh

=====

6.
PrNdRh2 (GGA-PBE, optimized geometry); volume = 22.5 Å³/atom; formation enthalpy at 0 K = -0.61 eV/atom
1.0
5.085 0.000 0.000
0.000 5.085 0.000
0.000 0.000 3.476
Pr Nd Rh
1 1 2
Cartesian
0.000 0.000 0.000 Pr
2.543 2.543 0.000 Nd
0.000 2.543 1.738 Rh
2.543 0.000 1.738 Rh